1.
This record from Alexandria describes a relaxed structure of CsRb3Os. The functional is PBE-GGA.

Cell lengths 6.815, 6.815, 6.815 Å; angles 90.00, 90.00, 90.00 degrees
Atoms (fractional coordinates):
Cs 0.000 0.000 0.000
Rb 0.000 0.500 0.500
Rb 0.500 0.000 0.500
Rb 0.500 0.500 0.000
Os 0.500 0.500 0.500

Summary:
- Symmetry: Pm-3m (221)
- Volume: 63.3 A^3/atom
- Final energy: -1.93 eV/atom
- ΔE_f: 1.066 eV per atom


2.
This record from Alexandria describes a relaxed structure of Cs2RbOsS4. The functional is PBE-GGA.

Cell lengths 7.407, 7.407, 7.407 Å; angles 110.51, 110.51, 107.42 degrees
Atoms (fractional coordinates):
Cs 0.000 0.000 0.000
Cs 0.750 0.250 0.500
Rb 0.250 0.750 0.500
Os 0.500 0.500 0.000
S 0.214 0.197 0.692
S 0.478 0.786 0.984
S 0.505 0.522 0.308
S 0.803 0.495 0.016

Summary:
- Symmetry: I-4 (82)
- Volume: 39.1 A^3/atom
- Final energy: -4.49 eV/atom
- Formation energy (no corrections): -0.69 eV per atom


3.
This record from Alexandria describes a relaxed structure of Cs2RbZrOs. The functional is PBE-GGA.

Cell lengths 7.460, 7.460, 4.802 Å; angles 90.00, 90.00, 90.00 degrees
Atoms (fractional coordinates):
Cs 0.000 0.500 0.000
Cs 0.500 0.000 0.000
Rb 0.000 0.000 0.500
Zr 0.500 0.500 0.000
Os 0.500 0.500 0.500

Summary:
- Symmetry: P4/mmm (123)
- Volume: 53.5 A^3/atom
- Final energy: -3.46 eV/atom
- ΔE_f: 1.035 eV per atom


4.
This record from Alexandria describes a relaxed structure of Cs2ReOs. The functional is PBE-GGA.

Cell lengths 5.916, 5.916, 5.916 Å; angles 60.00, 60.00, 60.00 degrees
Atoms (fractional coordinates):
Cs 0.250 0.250 0.250
Cs 0.750 0.750 0.750
Re 0.000 0.000 0.000
Os 0.500 0.500 0.500

Summary:
- Symmetry: Fm-3m (225)
- Volume: 36.6 A^3/atom
- Final energy: -3.53 eV/atom
- ΔE_f: 2.821 eV per atom


5.
This record from Alexandria describes a relaxed structure of CsYReOs2. The functional is PBE-GGA.

Cell lengths 4.844, 4.844, 5.364 Å; angles 90.00, 90.00, 90.00 degrees
Atoms (fractional coordinates):
Cs 0.000 0.000 0.000
Y 0.500 0.500 0.000
Re 0.000 0.000 0.500
Os 0.000 0.500 0.500
Os 0.500 0.000 0.500

Summary:
- Symmetry: P4/mmm (123)
- Volume: 25.2 A^3/atom
- Final energy: -6.73 eV/atom
- ΔE_f: 1.712 eV per atom


6.
This record from Alexandria describes a relaxed structure of CsOs3Rh. The functional is PBE-GGA.

Cell lengths 4.857, 4.857, 4.857 Å; angles 90.00, 90.00, 90.00 degrees
Atoms (fractional coordinates):
Cs 0.000 0.000 0.000
Os 0.000 0.500 0.500
Os 0.500 0.000 0.500
Os 0.500 0.500 0.000
Rh 0.500 0.500 0.500

Summary:
- Symmetry: Pm-3m (221)
- Volume: 22.9 A^3/atom
- Final energy: -5.91 eV/atom
- Energy above the most stable polymorph in this dataset: 0.00 eV per formula unit
- ΔE_f: 2.471 eV per atom


7.
This record from Alexandria describes a relaxed structure of CsOsRh. The functional is PBE-GGA.

Cell lengths 7.163, 7.163, 5.158 Å; angles 90.00, 90.00, 143.51 degrees
Atoms (fractional coordinates):
Cs 0.217 0.783 0.750
Cs 0.783 0.217 0.250
Os 0.024 0.976 0.250
Os 0.976 0.024 0.750
Rh 0.500 0.500 0.000
Rh 0.500 0.500 0.500

Summary:
- Symmetry: Cmcm (63)
- Volume: 26.2 A^3/atom
- Final energy: -5.73 eV/atom
- Energy above the most stable polymorph in this dataset: 0.59 eV per formula unit
- ΔE_f: 0.747 eV per atom


8.
This record from Alexandria describes a relaxed structure of CsOsRh. The functional is PBE-GGA.

Cell lengths 5.017, 4.180, 9.502 Å; angles 90.00, 91.01, 90.00 degrees
Atoms (fractional coordinates):
Cs 0.242 0.000 0.318
Cs 0.758 0.500 0.682
Os 0.121 0.499 0.013
Os 0.879 0.999 0.987
Rh 0.388 0.999 0.924
Rh 0.612 0.499 0.076

Summary:
- Symmetry: P2_1 (4)
- Volume: 33.2 A^3/atom
- Final energy: -5.93 eV/atom
- Energy above the most stable polymorph in this dataset: 0.00 eV per formula unit
- ΔE_f: 0.549 eV per atom


9.
This record from Alexandria describes a relaxed structure of CsOsRh2. The functional is PBE-GGA.

Cell lengths 6.585, 6.585, 6.585 Å; angles 109.16, 109.16, 110.09 degrees
Atoms (fractional coordinates):
Cs 0.000 0.000 0.000
Cs 0.750 0.250 0.500
Os 0.250 0.750 0.500
Os 0.500 0.500 0.000
Rh 0.237 0.125 0.612
Rh 0.375 0.763 0.888
Rh 0.513 0.625 0.388
Rh 0.875 0.487 0.112

Summary:
- Symmetry: I-42d (122)
- Volume: 27.5 A^3/atom
- Final energy: -5.52 eV/atom
- ΔE_f: 1.179 eV per atom


10.
This record from Alexandria describes a relaxed structure of CsOs3Rh. The functional is PBE-GGA.

Cell lengths 4.860, 4.860, 4.860 Å; angles 90.00, 90.00, 90.00 degrees
Atoms (fractional coordinates):
Cs 0.000 0.000 0.000
Os 0.000 0.000 0.500
Os 0.000 0.500 0.000
Os 0.500 0.000 0.000
Rh 0.500 0.500 0.500

Summary:
- Symmetry: Pm-3m (221)
- Volume: 23.0 A^3/atom
- Final energy: -4.22 eV/atom
- Energy above the most stable polymorph in this dataset: 8.43 eV per formula unit
- ΔE_f: 4.158 eV per atom


11.
This record from Alexandria describes a relaxed structure of Cs2OsRh. The functional is PBE-GGA.

Cell lengths 5.589, 5.589, 5.589 Å; angles 60.00, 60.00, 60.00 degrees
Atoms (fractional coordinates):
Cs 0.250 0.250 0.250
Cs 0.750 0.750 0.750
Os 0.000 0.000 0.000
Rh 0.500 0.500 0.500

Summary:
- Symmetry: Fm-3m (225)
- Volume: 30.9 A^3/atom
- Final energy: -3.02 eV/atom
- ΔE_f: 2.057 eV per atom


12.
This record from Alexandria describes a relaxed structure of CsOsRh. The functional is PBE-GGA.

Cell lengths 8.421, 4.280, 10.610 Å; angles 90.00, 90.00, 90.00 degrees
Atoms (fractional coordinates):
Cs 0.005 0.250 0.189
Cs 0.495 0.750 0.689
Cs 0.505 0.250 0.311
Cs 0.995 0.750 0.811
Os 0.142 0.750 0.448
Os 0.358 0.250 0.948
Os 0.642 0.750 0.052
Os 0.858 0.250 0.552
Rh 0.143 0.250 0.549
Rh 0.357 0.750 0.049
Rh 0.643 0.250 0.951
Rh 0.857 0.750 0.451

Summary:
- Symmetry: Pnma (62)
- Volume: 31.9 A^3/atom
- Final energy: -5.44 eV/atom
- Energy above the most stable polymorph in this dataset: 1.47 eV per formula unit
- ΔE_f: 1.038 eV per atom


13.
This record from Alexandria describes a relaxed structure of CsSnOsRh2. The functional is PBE-GGA.

Cell lengths 4.819, 4.819, 5.813 Å; angles 90.00, 90.00, 90.00 degrees
Atoms (fractional coordinates):
Cs 0.000 0.000 0.000
Sn 0.500 0.500 0.000
Os 0.000 0.000 0.500
Rh 0.000 0.500 0.500
Rh 0.500 0.000 0.500

Summary:
- Symmetry: P4/mmm (123)
- Volume: 27.0 A^3/atom
- Final energy: -4.77 eV/atom
- ΔE_f: 1.383 eV per atom


14.
This record from Alexandria describes a relaxed structure of CsOsRu2. The functional is PBE-GGA.

Cell lengths 6.344, 6.344, 6.344 Å; angles 108.82, 108.82, 110.78 degrees
Atoms (fractional coordinates):
Cs 0.000 0.000 0.000
Cs 0.750 0.250 0.500
Os 0.250 0.750 0.500
Os 0.500 0.500 0.000
Ru 0.214 0.125 0.589
Ru 0.375 0.786 0.911
Ru 0.536 0.625 0.411
Ru 0.875 0.464 0.089

Summary:
- Symmetry: I-42d (122)
- Volume: 24.6 A^3/atom
- Final energy: -6.11 eV/atom
- ΔE_f: 1.549 eV per atom